EuZrVSnO6 after structural relaxation, computed with GGA+U.

Computed properties:
Electronic total energy = -8.34 eV per atom

Cell and atoms, written as POSCAR:
```
EuZrVSnO6
1.0
0.000 4.043 4.043
4.043 0.000 4.043
4.043 4.043 0.000
Eu Zr V Sn O
1 1 1 1 6
Direct
0.250 0.250 0.250
0.000 0.000 0.000
0.500 0.500 0.500
0.750 0.750 0.750
0.259 0.741 0.259
0.741 0.259 0.741
0.259 0.741 0.741
0.741 0.259 0.259
0.259 0.259 0.741
0.741 0.741 0.259
```